(1)
A relaxed MnReNi2 crystal. Source: the Alexandria database, functional GGA-PBE.

Values from the calculation:
Its energy above the most stable polymorph in this dataset is 73.3 meV/atom.

Lattice parameters (Å, degrees): 3.0167 3.0167 5.3246 90.00 90.00 90.00
Site moments in Bohr magnetons follow the coordinates.
Fractional coordinates of all 4 atoms:
1 Mn 0.5000 0.5000 0.7627  1.93
2 Ni 0.0000 0.0000 0.0030  0.29
3 Ni 0.5000 0.5000 0.2330  -0.16
4 Re 0.0000 0.0000 0.5013  -0.42


(2)
A relaxed Ba12Sr5Pm3 crystal. Source: the Alexandria database, functional GGA-PBE.

Values from the calculation:
The energy comes out at -1.59 eV/atom.

Lattice parameters (Å, degrees): 19.4303 19.4303 19.4303 109.47 109.47 109.47
Site moments in Bohr magnetons follow the coordinates.
Fractional coordinates of all 80 atoms:
1 Pm 0.7500 0.3750 0.1250  0.16
2 Pm 0.8750 0.7500 0.1250  0.16
3 Pm 0.3750 0.7500 0.6250  0.16
4 Pm 0.2500 0.1250 0.3750  0.16
5 Pm 0.8750 0.1250 0.2500  0.16
6 Pm 0.3750 0.6250 0.2500  0.16
7 Pm 0.6250 0.3750 0.7500  0.16
8 Pm 0.1250 0.8750 0.7500  0.16
9 Pm 0.7500 0.8750 0.6250  0.16
10 Pm 0.6250 0.2500 0.3750  0.16
11 Pm 0.1250 0.2500 0.8750  0.16
12 Pm 0.2500 0.6250 0.8750  0.16
13 Sr 0.1250 0.3750 0.2500  -0.01
14 Sr 0.0000 0.5000 0.0000  -0.05
15 Sr 0.0000 0.0000 0.0000  -0.05
16 Sr 0.3750 0.2500 0.1250  -0.01
17 Sr 0.5000 0.0000 0.5000  -0.05
18 Sr 0.5000 0.5000 0.0000  -0.05
19 Sr 0.1250 0.7500 0.3750  -0.01
20 Sr 0.7500 0.1250 0.8750  -0.01
21 Sr 0.7500 0.6250 0.3750  -0.01
22 Sr 0.3750 0.1250 0.7500  -0.01
23 Sr 0.6250 0.8750 0.2500  -0.01
24 Sr 0.5000 0.5000 0.5000  -0.05
25 Sr 0.5000 0.0000 0.0000  -0.05
26 Sr 0.0000 0.0000 0.5000  -0.05
27 Sr 0.2500 0.3750 0.6250  -0.01
28 Sr 0.2500 0.8750 0.1250  -0.01
29 Sr 0.0000 0.5000 0.5000  -0.05
30 Sr 0.8750 0.2500 0.6250  -0.01
31 Sr 0.6250 0.7500 0.8750  -0.01
32 Sr 0.8750 0.6250 0.7500  -0.01
33 Ba 0.7371 0.1367 0.0803  0.00
34 Ba 0.3433 0.5803 0.4436  0.00
35 Ba 0.9197 0.3633 0.2629  0.00
36 Ba 0.5803 0.2371 0.1367  0.00
37 Ba 0.6004 0.7371 0.6567  0.00
38 Ba 0.9197 0.5564 0.1567  0.00
39 Ba 0.3433 0.7629 0.3996  0.00
40 Ba 0.0564 0.8996 0.1367  0.00
41 Ba 0.5564 0.9197 0.6567  0.00
42 Ba 0.7371 0.6004 0.1567  0.00
43 Ba 0.7629 0.4197 0.3633  0.00
44 Ba 0.8433 0.9436 0.0803  0.00
45 Ba 0.1367 0.7371 0.5803  0.00
46 Ba 0.3633 0.4436 0.1004  0.00
47 Ba 0.1004 0.9436 0.3633  0.00
48 Ba 0.3996 0.1367 0.5564  0.00
49 Ba 0.1004 0.1567 0.2371  0.00
50 Ba 0.4197 0.6567 0.0564  0.00
51 Ba 0.8433 0.8996 0.2629  0.00
52 Ba 0.1367 0.3996 0.0564  0.00
53 Ba 0.3633 0.9197 0.7629  0.00
54 Ba 0.5564 0.6367 0.3996  0.00
55 Ba 0.9436 0.8433 0.5803  0.00
56 Ba 0.7629 0.3433 0.8996  0.00
57 Ba 0.4436 0.3633 0.6004  0.00
58 Ba 0.0564 0.1567 0.4197  0.00
59 Ba 0.2371 0.6567 0.1004  0.00
60 Ba 0.1567 0.1004 0.7371  0.00
61 Ba 0.6367 0.0803 0.2371  0.00
62 Ba 0.8633 0.6004 0.9436  0.00
63 Ba 0.5803 0.3433 0.9436  0.00
64 Ba 0.6004 0.8633 0.4436  0.00
65 Ba 0.8996 0.8433 0.7629  0.00
66 Ba 0.8996 0.0564 0.6367  0.00
67 Ba 0.8633 0.2629 0.4197  0.00
68 Ba 0.1567 0.0564 0.9197  0.00
69 Ba 0.6367 0.5564 0.8996  0.00
70 Ba 0.4436 0.0803 0.3433  0.00
71 Ba 0.2629 0.3996 0.8433  0.00
72 Ba 0.2371 0.5803 0.6367  0.00
73 Ba 0.9436 0.1004 0.8633  0.00
74 Ba 0.6567 0.2371 0.6004  0.00
75 Ba 0.4197 0.7629 0.8633  0.00
76 Ba 0.0803 0.4436 0.8433  0.00
77 Ba 0.3996 0.2629 0.3433  0.00
78 Ba 0.0803 0.6367 0.7371  0.00
79 Ba 0.6567 0.4197 0.5564  0.00
80 Ba 0.2629 0.8633 0.9197  0.00


(3)
A relaxed Tm2MgGaPd4 crystal. Source: the Alexandria database, functional GGA-PBE.

Values from the calculation:
The energy comes out at -5.13 eV/atom.

Lattice parameters (Å, degrees): 4.6682 4.6682 8.1652 73.39 73.39 60.00
Fractional coordinates of all 8 atoms:
1 Tm 0.7514 0.7514 0.7457
2 Tm 0.2486 0.2486 0.2543
3 Mg 0.0000 0.0000 0.0000
4 Ga 0.5000 0.5000 0.5000
5 Pd 0.3753 0.3753 0.8740
6 Pd 0.8737 0.8737 0.3788
7 Pd 0.1263 0.1263 0.6212
8 Pd 0.6247 0.6247 0.1260


(4)
A relaxed Ta2BeCd crystal. Source: the Alexandria database, functional GGA-PBE.

Values from the calculation:
Its energy above the most stable polymorph in this dataset is 458.8 meV/atom.

Lattice parameters (Å, degrees): 4.5434 4.5434 4.5434 60.00 60.00 60.00
Fractional coordinates of all 4 atoms:
1 Be 0.0000 0.0000 0.0000
2 Cd 0.5000 0.5000 0.5000
3 Ta 0.2500 0.2500 0.2500
4 Ta 0.7500 0.7500 0.7500


(5)
A relaxed ZrS2BrO8 crystal. Source: the Alexandria database, functional GGA-PBE.

Values from the calculation:
The value obtained for the uncorrected formation energy is -1.579 eV per atom.

Lattice parameters (Å, degrees): 5.3964 5.3964 9.2152 90.00 90.00 120.00
Site moments in Bohr magnetons follow the coordinates.
Fractional coordinates of all 12 atoms:
1 Zr 0.0000 0.0000 0.0000  0.00
2 S 0.3333 0.6667 0.8084  0.00
3 S 0.6667 0.3333 0.1916  0.00
4 Br 0.0000 0.0000 0.5000  0.66
5 O 0.1849 0.3698 0.8726  0.00
6 O 0.1849 0.8151 0.8726  0.00
7 O 0.6302 0.8151 0.8726  0.00
8 O 0.3698 0.1849 0.1274  0.00
9 O 0.6667 0.3333 0.3458  0.01
10 O 0.3333 0.6667 0.6542  0.01
11 O 0.8151 0.6302 0.1274  0.00
12 O 0.8151 0.1849 0.1274  0.00


(6)
A relaxed SrLiAu3 crystal. Source: the Alexandria database, functional GGA-PBE.

Values from the calculation:
Its energy above the most stable polymorph in this dataset is 752.3 meV/atom.

Lattice parameters (Å, degrees): 5.8660 5.8660 5.8660 90.00 90.00 90.00
Fractional coordinates of all 5 atoms:
1 Sr 0.0000 0.0000 0.0000
2 Au 0.0000 0.5000 0.0000
3 Au 0.0000 0.0000 0.5000
4 Au 0.5000 0.0000 0.0000
5 Li 0.5000 0.5000 0.5000


(7)
A relaxed CsSn5Au2 crystal. Source: the Alexandria database, functional GGA-PBE.

Values from the calculation:
The energy comes out at -3.59 eV/atom.

Lattice parameters (Å, degrees): 4.4389 8.0060 8.0060 61.36 73.91 73.91
Fractional coordinates of all 8 atoms:
1 Cs 0.0000 0.0000 0.0000
2 Sn 0.0000 0.5000 0.5000
3 Sn 0.6548 0.5401 0.1502
4 Sn 0.3452 0.4599 0.8498
5 Sn 0.3452 0.8498 0.4599
6 Sn 0.6548 0.1502 0.5401
7 Au 0.7629 0.7371 0.7371
8 Au 0.2371 0.2629 0.2629


The following volume values (in Å³ per cell) correspond, in order, to the records above: 48.5; 5647.0; 145.5; 66.3; 232.4; 201.8; 236.4.